# ZrZn2Se PBE relaxed
data_ZrZn2Se
_cell_length_a 3.709
_cell_length_b 3.709
_cell_length_c 5.396
_cell_angle_alpha 90.00
_cell_angle_beta 90.00
_cell_angle_gamma 90.00
_space_group_name_H-M_alt 'P 4/m m m'
_space_group_IT_number 123
_space_group_name_Hall '-P 4 2'
loop_
_atom_site_label
_atom_site_type_symbol
_atom_site_fract_x
_atom_site_fract_y
_atom_site_fract_z
Zr1 Zr 0.000 0.000 0.000
Zn1 Zn 0.500 0.500 0.246
Se1 Se 0.000 0.000 0.500
# crystal system = tetragonal
# VASP energy = -15.504 eV for the cell shown
# uncorrected formation energy = -0.231 eV per atom

# MgCoBr4 PBE relaxed
data_MgCoBr4
_cell_length_a 8.889
_cell_length_b 8.889
_cell_length_c 8.889
_cell_angle_alpha 90.00
_cell_angle_beta 90.00
_cell_angle_gamma 90.00
_space_group_name_H-M_alt 'F -4 3 m'
_space_group_IT_number 216
_space_group_name_Hall 'F -4 2 3'
loop_
_atom_site_label
_atom_site_type_symbol
_atom_site_fract_x
_atom_site_fract_y
_atom_site_fract_z
Mg1 Mg 0.000 0.000 0.000
Co1 Co 0.250 0.250 0.250
Br1 Br 0.125 0.125 0.625
# crystal system = cubic
# VASP energy = -41.506 eV for the cell shown
# uncorrected formation energy = 0.836 eV per atom
# energy above the lowest structure with this stoichiometry = 1699 meV/atom

# YTh2In3Hg6 PBE relaxed
data_YTh2In3Hg6
_cell_length_a 4.205
_cell_length_b 4.205
_cell_length_c 21.021
_cell_angle_alpha 90.00
_cell_angle_beta 90.00
_cell_angle_gamma 90.00
_space_group_name_H-M_alt 'P 4/m m m'
_space_group_IT_number 123
_space_group_name_Hall '-P 4 2'
loop_
_atom_site_label
_atom_site_type_symbol
_atom_site_fract_x
_atom_site_fract_y
_atom_site_fract_z
Y1 Y 0.000 0.000 0.000
Th1 Th 0.000 0.000 0.283
In1 In 0.500 0.500 0.218
In2 In 0.500 0.500 0.500
Hg1 Hg 0.000 0.500 0.110
Hg2 Hg 0.500 0.500 0.365
# crystal system = tetragonal
# VASP energy = -30.949 eV for the cell shown
# formation energy = 0.032 eV per atom

# Sm2ErPd4 PBE relaxed
data_Sm2ErPd4
_cell_length_a 5.853
_cell_length_b 8.446
_cell_length_c 15.054
_cell_angle_alpha 90.00
_cell_angle_beta 90.00
_cell_angle_gamma 90.00
_space_group_name_H-M_alt 'F m m m'
_space_group_IT_number 69
_space_group_name_Hall '-F 2 2'
loop_
_atom_site_label
_atom_site_type_symbol
_atom_site_fract_x
_atom_site_fract_y
_atom_site_fract_z
Sm1 Sm 0.000 0.000 0.134
Er1 Er 0.000 0.000 0.500
Pd1 Pd 0.000 0.000 0.320
Pd2 Pd 0.250 0.250 0.000
# crystal system = orthorhombic
# VASP energy = -147.751 eV for the cell shown
# formation energy = -0.309 eV per atom

# LaNi5H7 PBE relaxed
data_LaNi5H7
_cell_length_a 4.135
_cell_length_b 5.376
_cell_length_c 5.504
_cell_angle_alpha 79.23
_cell_angle_beta 89.84
_cell_angle_gamma 67.39
_space_group_name_H-M_alt 'P 1'
_space_group_IT_number 1
loop_
_space_group_symop_operation_xyz
'x,y,z'
loop_
_atom_site_label
_atom_site_type_symbol
_atom_site_fract_x
_atom_site_fract_y
_atom_site_fract_z
La1 La 0.000 0.000 0.000
Ni1 Ni 0.187 0.638 0.564
Ni2 Ni 0.314 0.419 0.156
Ni3 Ni 0.493 0.000 0.499
Ni4 Ni 0.733 0.581 0.844
Ni5 Ni 0.823 0.363 0.436
H1 H 0.035 0.388 0.671
H2 H 0.048 0.001 0.500
H3 H 0.365 0.528 0.865
H4 H 0.423 0.612 0.327
H5 H 0.464 0.078 0.202
H6 H 0.543 0.922 0.797
H7 H 0.893 0.471 0.133
# crystal system = triclinic
# VASP energy = -59.943 eV for the cell shown
# energy above the lowest structure with this stoichiometry = 47 meV/atom

# MnCSe2N PBE relaxed
data_MnCSe2N
_cell_length_a 5.861
_cell_length_b 5.861
_cell_length_c 2.499
_cell_angle_alpha 90.00
_cell_angle_beta 90.00
_cell_angle_gamma 90.00
_space_group_name_H-M_alt 'P 4/m m m'
_space_group_IT_number 123
_space_group_name_Hall '-P 4 2'
loop_
_atom_site_label
_atom_site_type_symbol
_atom_site_fract_x
_atom_site_fract_y
_atom_site_fract_z
Mn1 Mn 0.000 0.000 0.000
C1 C 0.500 0.500 0.500
Se1 Se 0.000 0.500 0.500
N1 N 0.500 0.500 0.000
# crystal system = tetragonal
# VASP energy = -30.028 eV for the cell shown
# uncorrected formation energy = 0.732 eV per atom
# energy above the lowest structure with this stoichiometry = 0 meV/atom

# Ho2Be2SnRh5 PBE relaxed
data_Ho2Be2SnRh5
_cell_length_a 9.678
_cell_length_b 9.678
_cell_length_c 3.311
_cell_angle_alpha 90.00
_cell_angle_beta 90.00
_cell_angle_gamma 90.00
_space_group_name_H-M_alt 'P 4/m b m'
_space_group_IT_number 127
_space_group_name_Hall '-P 4 2ab'
loop_
_atom_site_label
_atom_site_type_symbol
_atom_site_fract_x
_atom_site_fract_y
_atom_site_fract_z
Ho1 Ho 0.176 0.324 0.000
Be1 Be 0.119 0.619 0.000
Sn1 Sn 0.000 0.000 0.000
Rh1 Rh 0.000 0.500 0.500
Rh2 Rh 0.069 0.783 0.500
# crystal system = tetragonal
# VASP energy = -131.455 eV for the cell shown
# formation energy = -0.836 eV per atom

# BePb2W PBE relaxed
data_BePb2W
_cell_length_a 3.703
_cell_length_b 4.987
_cell_length_c 8.510
_cell_angle_alpha 90.00
_cell_angle_beta 90.00
_cell_angle_gamma 90.00
_space_group_name_H-M_alt 'I m m m'
_space_group_IT_number 71
_space_group_name_Hall '-I 2 2'
loop_
_atom_site_label
_atom_site_type_symbol
_atom_site_fract_x
_atom_site_fract_y
_atom_site_fract_z
Be1 Be 0.000 0.000 0.000
Pb1 Pb 0.000 0.500 0.272
W1 W 0.000 0.000 0.500
# crystal system = orthorhombic
# VASP energy = -39.567 eV for the cell shown
# formation energy = 1.078 eV per atom

# HgIrSe2 PBE relaxed
data_HgIrSe2
_cell_length_a 6.515
_cell_length_b 3.740
_cell_length_c 7.849
_cell_angle_alpha 90.00
_cell_angle_beta 103.26
_cell_angle_gamma 90.00
_space_group_name_H-M_alt 'C 1 2/m 1'
_space_group_IT_number 12
loop_
_space_group_symop_operation_xyz
'x,y,z'
'-x,-y,-z'
'-x,y,-z'
'x,-y,z'
'x+1/2,y+1/2,z'
'-x+1/2,-y+1/2,-z'
'-x+1/2,y+1/2,-z'
'x+1/2,-y+1/2,z'
loop_
_atom_site_label
_atom_site_type_symbol
_atom_site_fract_x
_atom_site_fract_y
_atom_site_fract_z
Hg1 Hg 0.000 0.000 0.000
Ir1 Ir 0.000 0.500 0.500
Se1 Se 0.213 0.000 0.668
# crystal system = monoclinic
# VASP energy = -33.691 eV for the cell shown
# uncorrected formation energy = -0.178 eV per atom

# Dy2Si3NiPt4 PBE relaxed
data_Dy2Si3NiPt4
_cell_length_a 4.151
_cell_length_b 4.151
_cell_length_c 10.050
_cell_angle_alpha 90.00
_cell_angle_beta 90.00
_cell_angle_gamma 90.00
_space_group_name_H-M_alt 'P -4 m 2'
_space_group_IT_number 115
loop_
_space_group_symop_operation_xyz
'x,y,z'
'y,-x,-z'
'-x,-y,z'
'-y,x,-z'
'-x,y,z'
'-y,-x,-z'
'x,-y,z'
'y,x,-z'
loop_
_atom_site_label
_atom_site_type_symbol
_atom_site_fract_x
_atom_site_fract_y
_atom_site_fract_z
Dy1 Dy 0.000 0.500 0.238
Si1 Si 0.000 0.000 0.000
Si2 Si 0.000 0.500 0.634
Ni1 Ni 0.500 0.500 0.000
Pt1 Pt 0.000 0.000 0.500
Pt2 Pt 0.000 0.500 0.866
Pt3 Pt 0.500 0.500 0.500
# crystal system = tetragonal
# VASP energy = -65.398 eV for the cell shown
# uncorrected formation energy = -0.998 eV per atom

# Hf2CCl2 PBE relaxed
data_Hf2CCl2
_cell_length_a 3.4009
_cell_length_b 3.4009
_cell_length_c 29.6099
_cell_angle_alpha 90.00
_cell_angle_beta 90.00
_cell_angle_gamma 120.00
_space_group_name_H-M_alt 'R -3 m'
_space_group_IT_number 166
_space_group_name_Hall '-R 3 2"'
loop_
_atom_site_label
_atom_site_type_symbol
_atom_site_fract_x
_atom_site_fract_y
_atom_site_fract_z
Hf1 Hf 0.0000 0.0000 0.1272
C1 C 0.0000 0.0000 0.5000
Cl1 Cl 0.0000 0.0000 0.2665
# crystal system = trigonal
# VASP energy = -120.520 eV for the cell shown
# uncorrected formation energy = -1.470 eV per atom

# Mg3ReSi PBE relaxed
data_Mg3ReSi
_cell_length_a 5.025
_cell_length_b 5.025
_cell_length_c 5.025
_cell_angle_alpha 90.00
_cell_angle_beta 90.00
_cell_angle_gamma 90.00
_space_group_name_H-M_alt 'P m -3 m'
_space_group_IT_number 221
_space_group_name_Hall '-P 4 2 3'
loop_
_atom_site_label
_atom_site_type_symbol
_atom_site_fract_x
_atom_site_fract_y
_atom_site_fract_z
Mg1 Mg 0.000 0.000 0.500
Re1 Re 0.000 0.000 0.000
Si1 Si 0.500 0.500 0.500
# crystal system = cubic
# VASP energy = -16.427 eV for the cell shown
# uncorrected formation energy = 1.246 eV per atom
# energy above the lowest structure with this stoichiometry = 115 meV/atom

One value per record, in order, for mass density: 6.73 3.81 9.39 7.98 6.60 4.62 10.51 12.83 9.83 11.97 7.39 3.76 g/cm3.